Material: Li2NiCSO7
Method: DFT, meta-GGA SCAN
State: PBEsol geometry

abc: 4.9075 6.2740 8.4555
angles: 90.00 94.37 90.00
With the nearest neighbours (Å) after each atom.
Atoms (fractional coordinates):
Li 0.2200 0.0170 0.2955  4 O 1.98-2.14
Li 0.2200 0.4830 0.2955  4 O 1.98-2.14
Li 0.7800 0.5170 0.7045  4 O 1.98-2.14
Li 0.7800 0.9830 0.7045  4 O 1.98-2.14
Ni 0.2187 0.7500 0.8482  6 O 1.99-2.06
Ni 0.7813 0.2500 0.1518  6 O 1.99-2.06
C 0.2712 0.7500 0.5626  3 O 1.26-1.31
C 0.7288 0.2500 0.4374  3 O 1.26-1.31
S 0.2705 0.2500 0.9154  4 O 1.48-1.49
S 0.7295 0.7500 0.0846  4 O 1.48-1.49
O 0.0323 0.7500 0.6211  1 C 1.31
O 0.1673 0.0628 0.8226  1 S 1.48
O 0.1673 0.4372 0.8226  1 S 1.48
O 0.1686 0.2500 0.0765  1 S 1.49
O 0.2995 0.7500 0.4151  1 C 1.26
O 0.4250 0.7500 0.0661  1 S 1.49
O 0.4785 0.7500 0.6699  1 C 1.31
O 0.5215 0.2500 0.3301  1 C 1.31
O 0.5750 0.2500 0.9339  1 S 1.49
O 0.7005 0.2500 0.5849  1 C 1.26
O 0.8314 0.7500 0.9235  1 S 1.49
O 0.8327 0.5628 0.1774  1 S 1.48
O 0.8327 0.9372 0.1774  1 S 1.48
O 0.9677 0.2500 0.3789  1 C 1.31

Computed properties:
ΔE_f (raw) = -1.79 eV/atom
total energy = -105.72 eV/f.u.


Material: Li2SnCSO7
Method: DFT, meta-GGA SCAN
State: PBEsol geometry

abc: 4.9803 6.6608 9.3517
angles: 90.00 93.06 90.00
With the nearest neighbours (Å) after each atom.
Atoms (fractional coordinates):
Li 0.2403 0.0213 0.1754  4 O 2.00-2.24
Li 0.2403 0.4787 0.1754  4 O 2.00-2.24
Li 0.7597 0.5213 0.8246  4 O 2.00-2.24
Li 0.7597 0.9787 0.8246  4 O 2.00-2.24
Sn 0.2955 0.2500 0.6125  4 O 2.27-2.37
Sn 0.7045 0.7500 0.3875  4 O 2.27-2.37
C 0.2872 0.2500 0.9040  3 O 1.27-1.32
C 0.7128 0.7500 0.0960  3 O 1.27-1.32
S 0.2656 0.7500 0.6471  4 O 1.47-1.49
S 0.7344 0.2500 0.3529  4 O 1.47-1.49
O 0.0084 0.7500 0.7170  1 S 1.47
O 0.0696 0.2500 0.8167  1 C 1.32
O 0.2199 0.7500 0.4882  1 S 1.49
O 0.2699 0.2500 0.0386  1 C 1.27
O 0.4314 0.5717 0.6915  1 S 1.49
O 0.4314 0.9283 0.6915  1 S 1.49
O 0.4826 0.7500 0.1568  1 C 1.31
O 0.5174 0.2500 0.8432  1 C 1.31
O 0.5686 0.0717 0.3085  1 S 1.49
O 0.5686 0.4283 0.3085  1 S 1.49
O 0.7301 0.7500 0.9614  1 C 1.27
O 0.7801 0.2500 0.5118  1 S 1.49
O 0.9304 0.7500 0.1833  1 C 1.32
O 0.9916 0.2500 0.2830  1 S 1.47

Computed properties:
ΔE_f (raw) = -1.74 eV/atom
total energy = -124.92 eV/f.u.


Material: LiP2CS
Method: DFT, meta-GGA SCAN
State: PBEsol geometry

abc: 4.1368 4.1368 4.1900
angles: 90.00 90.00 90.00
With the nearest neighbours (Å) after each atom.
Atoms (fractional coordinates):
Li 0.0000 0.0000 0.0000  4 P 2.07, 2 S 2.09
P 0.0000 0.5000 0.0000  2 Li 2.07
P 0.5000 0.0000 0.0000  2 Li 2.07
C 0.5000 0.5000 0.5000  4 S 2.93, 8 P 2.94
S 0.0000 0.0000 0.5000  2 Li 2.09

Computed properties:
ΔE_f (raw) = 2.08 eV/atom
total energy = -32.52 eV/f.u.


Material: LiPbC3
Method: DFT, meta-GGA SCAN
State: PBEsol geometry

abc: 3.8904 3.8904 3.8904
angles: 90.00 90.00 90.00
With the nearest neighbours (Å) after each atom.
Atoms (fractional coordinates):
Li 0.0000 0.0000 0.0000  6 C 1.95
Pb 0.5000 0.5000 0.5000  12 C 2.75
C 0.0000 0.0000 0.5000  2 Li 1.95
C 0.0000 0.5000 0.0000  2 Li 1.95
C 0.5000 0.0000 0.0000  2 Li 1.95

Computed properties:
formation energy from the elements = 2834 meV/atom
total energy = -94.30 eV/f.u.


Material: Li2SiPdC
Method: DFT, meta-GGA SCAN
State: PBEsol geometry

abc: 4.8631 4.8631 3.3680
angles: 90.00 90.00 90.00
With the nearest neighbours (Å) after each atom.
Atoms (fractional coordinates):
Li 0.0000 0.5000 0.0000  2 Si 2.43
Li 0.5000 0.0000 0.0000  2 Si 2.43
Si 0.0000 0.0000 0.0000  2 C 1.68
Pd 0.5000 0.5000 0.5000  8 Li 2.96
C 0.0000 0.0000 0.5000  2 Si 1.68

Computed properties:
ΔE_f (raw) = 0.77 eV/atom
total energy = -53.80 eV/f.u.


Material: Li2PtC2
Method: DFT, meta-GGA SCAN
State: PBEsol geometry

abc: 5.1424 5.1424 3.5353
angles: 90.00 90.00 90.00
With the nearest neighbours (Å) after each atom.
Atoms (fractional coordinates):
Li 0.1822 0.3178 0.0000  6 C 2.31-2.40, 4 Pt 2.58
Li 0.3178 0.8178 0.0000  6 C 2.31-2.40, 4 Pt 2.58
Li 0.6822 0.1822 0.0000  6 C 2.31-2.40, 4 Pt 2.58
Li 0.8178 0.6822 0.0000  6 C 2.31-2.40, 4 Pt 2.58
Pt 0.0000 0.0000 0.5000  4 C 2.14
Pt 0.5000 0.5000 0.5000  4 C 2.14
C 0.0949 0.5949 0.5000  1 C 1.38
C 0.4051 0.0949 0.5000  1 C 1.38
C 0.5949 0.9051 0.5000  1 C 1.38
C 0.9051 0.4051 0.5000  1 C 1.38

Computed properties:
formation energy from the elements = -215 meV/atom
total energy = -96.25 eV/f.u.


Material: LiRhC3
Method: DFT, meta-GGA SCAN
State: PBEsol geometry

abc: 3.5459 3.5459 3.5459
angles: 90.00 90.00 90.00
With the nearest neighbours (Å) after each atom.
Atoms (fractional coordinates):
Li 0.0000 0.0000 0.0000  6 C 1.77
Rh 0.5000 0.5000 0.5000  12 C 2.51
C 0.0000 0.0000 0.5000  2 Li 1.77
C 0.0000 0.5000 0.0000  2 Li 1.77
C 0.5000 0.0000 0.0000  2 Li 1.77

Computed properties:
formation energy from the elements = 2896 meV/atom
total energy = -51.98 eV/f.u.


Material: LiRhC2S
Method: DFT, meta-GGA SCAN
State: PBEsol geometry

abc: 3.6215 3.6215 4.4189
angles: 90.00 90.00 90.00
With the nearest neighbours (Å) after each atom.
Atoms (fractional coordinates):
Li 0.0000 0.0000 0.0000  4 Rh 2.56, 8 C 2.86
Rh 0.5000 0.5000 0.0000  2 S 2.21
C 0.0000 0.5000 0.5000  2 S 1.81
C 0.5000 0.0000 0.5000  2 S 1.81
S 0.5000 0.5000 0.5000  4 C 1.81

Computed properties:
ΔE_f (raw) = 1.80 eV/atom
total energy = -56.97 eV/f.u.